[1]
Material: Pr9SmDy2
Method: DFT, GGA-PBE
State: optimized geometry

## Properties
- E_tot (eV/atom) = -4.730
- formation energy from the elements (eV/atom) = 0.0145
- magnetic moment (μB/f.u.) = 0.00
- SG = P4/mmm, No. 123

abc: 5.2003 5.2003 15.5999
angles: 90.00 90.00 90.00
With the nearest neighbours (Å) after each atom.
Sites, in units of the cell vectors:
Pr: 0.5000 0.5000 0.0000  4 Sm 3.68, 8 Pr 3.69
Pr: 0.5000 0.5000 0.3343  8 Pr 3.67, 4 Dy 3.68
Pr: 0.5000 0.5000 0.6657  8 Pr 3.67, 4 Dy 3.68
Pr: 0.5000 0.0000 0.1678  2 Dy 3.67, 8 Pr 3.67-3.69, 2 Sm 3.69
Pr: 0.5000 0.0000 0.5000  8 Pr 3.67-3.68, 4 Dy 3.67
Pr: 0.5000 0.0000 0.8322  2 Dy 3.67, 8 Pr 3.67-3.69, 2 Sm 3.69
Pr: 0.0000 0.5000 0.1678  2 Dy 3.67, 8 Pr 3.67-3.69, 2 Sm 3.69
Pr: 0.0000 0.5000 0.5000  8 Pr 3.67-3.68, 4 Dy 3.67
Pr: 0.0000 0.5000 0.8322  2 Dy 3.67, 8 Pr 3.67-3.69, 2 Sm 3.69
Sm: 0.0000 0.0000 0.0000  12 Pr 3.68-3.69
Dy: 0.0000 0.0000 0.3340  12 Pr 3.67-3.68
Dy: 0.0000 0.0000 0.6660  12 Pr 3.67-3.68


[2]
Material: CaHgIr2
Method: DFT, GGA-PBE
State: optimized geometry

## Properties
- E_tot (eV/atom) = -4.738
- formation energy from the elements (eV/atom) = 0.2684
- magnetic moment (μB/f.u.) = 0.00
- SG = Pmmm, No. 47

abc: 2.9222 4.3074 5.9930
angles: 90.00 90.00 90.00
With the nearest neighbours (Å) after each atom.
Sites, in units of the cell vectors:
Ca: 0.5000 0.5000 0.2500  2 Ca 2.92, 2 Hg 3.00, 8 Ir 3.10
Ir: 0.0000 0.0000 0.9688  3 Ir 2.62-2.92, 4 Hg 2.91
Ir: 0.0000 0.0000 0.5312  3 Ir 2.62-2.92, 4 Hg 2.91
Hg: 0.5000 0.5000 0.7500  8 Ir 2.91, 2 Hg 2.92, 2 Ca 3.00